DFT (GGA-PBE) results for crystalline MoH2RhPb at its relaxed geometry.

Structure (CIF):
```
data_MoH2RhPb
_cell_length_a 3.736
_cell_length_b 5.639
_cell_length_c 3.736
_cell_angle_alpha 90.00
_cell_angle_beta 90.00
_cell_angle_gamma 90.00
_symmetry_space_group_name_H-M 'P 1'
_symmetry_Int_Tables_number 1
loop_
_symmetry_equiv_pos_as_xyz
'x,y,z'
loop_
_atom_site_label
_atom_site_type_symbol
_atom_site_fract_x
_atom_site_fract_y
_atom_site_fract_z
H1 H 0.500 0.000 0.000
H2 H 0.000 0.000 0.500
Mo1 Mo 0.000 0.000 0.000
Pb1 Pb 0.000 0.500 0.000
Rh1 Rh 0.500 0.500 0.500
```

Output
VASP energy: -24.70 eV/f.u.
symmetry: No. 123


DFT (GGA-PBE) results for crystalline SnH3Au at its relaxed geometry.

Structure (CIF):
```
data_SnH3Au
_cell_length_a 3.896
_cell_length_b 3.896
_cell_length_c 3.896
_cell_angle_alpha 90.00
_cell_angle_beta 90.00
_cell_angle_gamma 90.00
_symmetry_space_group_name_H-M 'P 1'
_symmetry_Int_Tables_number 1
loop_
_symmetry_equiv_pos_as_xyz
'x,y,z'
loop_
_atom_site_label
_atom_site_type_symbol
_atom_site_fract_x
_atom_site_fract_y
_atom_site_fract_z
H1 H 0.000 0.500 0.000
H2 H 0.500 0.000 0.000
H3 H 0.000 0.000 0.500
Au1 Au 0.000 0.000 0.000
Sn1 Sn 0.500 0.500 0.500
```

Output
VASP energy: -15.16 eV/f.u.
relative energy among the computed polymorphs: 0.00 eV/f.u.
symmetry: No. 221


Calculated total magnetization, 2.4; 0.0 μB per formula unit (same order as the records).
Calculated volume, 15.74; 11.83 Å³ per atom (same order as the records).